1.
! VNi2PtRh (PBE, optimized geometry); values from VASP
&SYSTEM
  ibrav = 0, nat = 10, ntyp = 4
/
ATOMIC_SPECIES
V 50.94 V.upf
Ni 58.69 Ni.upf
Pt 195.08 Pt.upf
Rh 102.91 Rh.upf
CELL_PARAMETERS angstrom
-2.4582 -1.0275 0.5392
1.8804 -7.6409 -5.9881
1.4096 -0.4732 5.5251
ATOMIC_POSITIONS angstrom
V 1.8921 -7.5044 -2.2484
V -1.0603 -1.6372 2.3245
Ni 0.3842 -6.6076 -0.5616
Ni -0.5874 -4.3385 -0.6673
Ni 0.4476 -2.5341 0.6378
Ni 1.4192 -4.8031 0.7434
Pt 1.0958 -6.9162 -4.7580
Pt -0.2640 -2.2255 4.8342
Rh 0.8512 -5.2164 -2.6339
Rh -0.0194 -3.9253 2.7100
! N(E_F): 14.83 states/eV per cell
! ΔE_f: -0.0076 eV per atom



2.
! NiPt3RhW (PBE, optimized geometry); values from VASP
&SYSTEM
  ibrav = 0, nat = 12, ntyp = 4
/
ATOMIC_SPECIES
Ni 58.69 Ni.upf
Pt 195.08 Pt.upf
Rh 102.91 Rh.upf
W 183.84 W.upf
CELL_PARAMETERS angstrom
2.7775 0.0000 0.0000
-1.3887 7.1165 0.0000
0.0000 0.0000 8.9619
ATOMIC_POSITIONS angstrom
Ni 1.3887 3.9788 6.7214
Ni 0.0000 3.1377 2.2405
Pt 1.3887 2.3542 4.4037
Pt 0.0000 4.7623 4.5582
Pt 0.0000 4.7623 8.8846
Pt 1.3887 2.3542 0.0773
Pt 0.0000 1.6593 6.7214
Pt 1.3887 5.4572 2.2405
Rh 0.0000 6.3465 6.7214
Rh 1.3887 0.7700 2.2405
W 0.0000 0.0000 4.4810
W 0.0000 0.0000 0.0000
! N(E_F): 15.37 states/eV per cell
! ΔE_f: -0.1642 eV per atom



The calculation returns the following magnetic moment values, one per record and in order: 2.18; 0.66 Bohr magnetons per cell.